Material: InSnPd2
Method: DFT, PBE-GGA
State: optimized geometry

Structure (POSCAR):
```
InSnPd2
1.0
1.606 0.927 8.543
-1.606 0.927 8.543
0.000 -1.855 8.543
In Sn Pd
1 1 2
Cartesian
0.000 0.000 0.000
0.000 0.000 12.814
0.000 0.000 6.409
0.000 0.000 19.219
```

Electronic total energy = -4.6381 eV per atom
Calculated formation energy = -1.4 eV per formula unit
Symmetry = R-3m

Material: InSnPd3
Method: DFT, PBE-GGA
State: optimized geometry

Structure (POSCAR):
```
InSnPd3
1.0
7.311 0.000 0.000
0.000 7.547 0.000
0.000 0.000 6.744
In Sn Pd
4 4 12
Cartesian
0.000 0.000 0.000
0.000 3.773 0.000
3.655 0.000 3.372
3.655 3.773 3.372
1.101 1.887 2.826
2.554 5.660 6.198
4.756 1.887 0.546
6.210 5.660 3.918
0.924 5.660 1.831
1.131 4.173 4.325
1.131 7.147 4.325
2.525 0.400 0.953
2.525 3.373 0.953
2.731 1.887 5.203
4.580 5.660 1.541
4.786 4.173 5.792
4.786 7.147 5.792
6.180 0.400 2.420
6.180 3.373 2.420
6.386 1.887 4.914
```

Electronic total energy = -4.9043 eV per atom
Calculated formation energy = -2.2 eV per formula unit
Symmetry = Pnma
Relative energy among the computed polymorphs = 19 meV per atom